A plane-wave DFT calculation with PBE was carried out for crystalline NdIn3Ni at its relaxed geometry.

The energy relative to the elements is -1.9 eV per formula unit. The calculation puts the spin magnetization at 0.0 μB per cell. As for the total DFT energy (no corrections): -82.66 eV/cell. For the density of states at the Fermi level, the calculation gives 9.87 states/eV per cell.

The structure belongs to space group Pnma (No. 62); the cell edges are 8.9472, 4.4090 and 11.5787 Å and the angles 90.00°, 90.00° and 90.00°. The asymmetric unit holds Nd at (0.1879, 0.2500, 0.0069), In at (0.0605, 0.2500, 0.5813), In at (0.1177, 0.7500, 0.7973), In at (0.1379, 0.7500, 0.2147) and Ni at (0.1001, 0.2500, 0.3544).

=====

A plane-wave DFT calculation with PBE was carried out for crystalline SmPu2USe4 at its relaxed geometry.

The calculation puts the spin magnetization at 14.5 μB per cell. As for the total DFT energy (no corrections): -70.34 eV/cell. As for the formation energy (no corrections): -1.466 eV/atom. For the density of states at the Fermi level, the calculation gives 22.99 states/eV per cell.

The structure belongs to space group P2/m (No. 10); the cell edges are 7.1264, 4.0886 and 7.2322 Å and the angles 90.00°, 108.87° and 90.00°. The asymmetric unit holds Sm at (0.0000, 0.0000, 0.0000), Pu at (0.0000, 0.5000, 0.5000), Pu at (0.5000, 0.0000, 0.5000), U at (0.5000, 0.5000, 0.0000), Se at (0.2530, 0.0000, 0.7488) and Se at (0.2544, 0.5000, 0.2521).

=====

A plane-wave DFT calculation with PBE was carried out for crystalline SmSbO2 at its relaxed geometry.

The calculation puts the spin magnetization at 0.0 μB per cell. As for the total DFT energy (no corrections): -71.52 eV/cell. As for the formation energy (no corrections): -1.271 eV/atom. For the density of states at the Fermi level, the calculation gives 5.57 states/eV per cell.

The structure belongs to space group R-3m (No. 166, hexagonal axes); the cell edges are 3.7277, 3.7277 and 19.8944 Å and the angles 90.00°, 90.00° and 120.00°. The asymmetric unit holds Sm at (0.0000, 0.0000, 0.0000), Sb at (0.0000, 0.0000, 0.5000) and O at (0.0000, 0.0000, 0.1131).

=====

> Among the records above, which one has the lowest total DFT energy (no corrections)?

NdIn3Ni

=====

> spin magnetization of number 3 (SmSbO2)?

0.0 μB per cell

=====

> Look up the total DFT energy (no corrections) of the third one.

-71.52 eV/cell

=====

> total DFT energy (no corrections) of number 1 (NdIn3Ni)?

-82.66 eV/cell